No. 1
4
Lattice="3.196 0.000 0.000 0.000 3.196 0.000 0.000 0.000 6.516" Properties=species:S:1:pos:R:3 comment="PBE TmHfCo2, optimized geometry" polymorph_energy_mev_per_atom=0 pbc="T T T"
Co 0.000 0.000 5.052
Co 0.000 0.000 1.464
Tm 1.598 1.598 3.258
Hf 1.598 1.598 0.000

---

No. 2
5
Lattice="4.837 0.000 0.000 0.000 4.837 0.000 2.418 2.418 7.123" Properties=species:S:1:pos:R:3 comment="PBE LiCa2In2, optimized geometry" polymorph_energy_mev_per_atom=321 pbc="T T T"
Ca 4.837 2.418 3.561
Ca 2.418 4.837 3.561
Li 0.000 0.000 0.000
In 2.418 2.418 1.377
In 4.837 4.837 5.745

---

No. 3
3
Lattice="-3.636 -1.134 1.623 1.979 -2.156 2.929 0.032 2.475 1.801" Properties=species:S:1:pos:R:3 comment="PBE Ru2W, optimized geometry" e_tot_ev_per_atom=-9.6963 pbc="T T T"
Ru 1.006 0.160 2.365
Ru -1.802 0.671 1.712
W 0.000 0.000 0.000

---

No. 4
4
Lattice="-0.598 1.282 3.007 -2.991 1.153 0.889 -1.107 -5.793 4.128" Properties=species:S:1:pos:R:3 comment="PBE ZnTeOF, optimized geometry" e_form_raw_kj_per_mol_atoms=-119.7 polymorph_energy_mev_per_atom=0 pbc="T T T"
Zn -2.252 -4.009 4.074
Te -3.057 -0.127 2.245
O -3.664 -4.041 5.668
F -1.301 -2.536 5.318

---

No. 5
5
Lattice="-1.244 1.342 -4.262 -3.111 0.027 3.440 1.469 5.447 1.287" Properties=species:S:1:pos:R:3 comment="PBE Zr2Al3, optimized geometry" polymorph_energy_mev_per_atom=472 pbc="T T T"
Zr -1.633 1.768 -1.491
Zr -1.252 5.048 1.955
Al 0.000 0.000 0.000
Al -0.922 4.403 -0.868
Al -1.963 2.413 1.333